[1]
DFT (PBE) results for a relaxed structure of LaZnMo.

Cell: 4.9234 4.9234 3.0372 Å, 90.00 90.00 120.00°
Space group P-6m2 (No. 187)
One atom of each set of equivalent atoms:
La  0.0000  0.0000  0.0000 (multiplicity 1)
Zn  0.3333  0.6667  0.5000 (multiplicity 1)
Mo  0.6667  0.3333  0.5000 (multiplicity 1)

Results
Energy relative to the lowest polymorph listed for this composition (eV per atom): 0.1258

[2]
DFT (PBE) results for a relaxed structure of Hf2AlSn.

Cell: 7.7021 7.7021 5.9761 Å, 90.00 90.00 90.00°
Space group I-42d (No. 122)
One atom of each set of equivalent atoms:
Hf  0.2427  0.2500  0.1250 (multiplicity 8)
Al  0.0000  0.0000  0.0000 (multiplicity 4)
Sn  0.0000  0.0000  0.5000 (multiplicity 4)

Results
Final energy (eV per cell): -110.08

[3]
DFT (PBE) results for a relaxed structure of In2SbSe.

Cell: 4.7335 4.7335 22.1635 Å, 90.00 90.00 120.00°
Space group R3m (No. 160, hexagonal axes)
One atom of each set of equivalent atoms:
In  0.0000  0.0000  0.0000 (multiplicity 3)
In  0.0000  0.0000  0.4925 (multiplicity 3)
Sb  0.0000  0.0000  0.8664 (multiplicity 3)
Se  0.0000  0.0000  0.3684 (multiplicity 3)

Results
Energy relative to the lowest polymorph listed for this composition (eV per atom): 0.0374
Formation energy (no corrections) (eV per atom): -0.21

[4]
DFT (PBE) results for a relaxed structure of MnMoPb2.

Cell: 3.2202 3.2202 30.4447 Å, 90.00 90.00 120.00°
Space group R3m (No. 160, hexagonal axes)
One atom of each set of equivalent atoms:
Mn  0.0000  0.0000  0.0000 (multiplicity 3)
Mo  0.0000  0.0000  0.2855 (multiplicity 3)
Pb  0.0000  0.0000  0.5300 (multiplicity 3)
Pb  0.0000  0.0000  0.7495 (multiplicity 3)

Results
Energy relative to the lowest polymorph listed for this composition (eV per atom): 0.1589

[5]
DFT (PBE) results for a relaxed structure of TlGa6S8.

Cell: 10.1833 10.1833 11.6987 Å, 90.00 90.00 120.00°
Space group R-3 (No. 148, hexagonal axes)
One atom of each set of equivalent atoms:
Tl  0.0000  0.0000  0.0000 (multiplicity 3)
Ga  0.0562  0.2505  0.6161 (multiplicity 18)
S  0.0000  0.0000  0.3316 (multiplicity 6)
S  0.0214  0.3122  0.1127 (multiplicity 18)

Results
Formation energy (no corrections) (eV per atom): -0.41

[6]
DFT (PBE) results for a relaxed structure of AcLaPr2Tl4.

Cell: 5.6629 5.6629 27.7150 Å, 90.00 90.00 120.00°
Space group R-3m (No. 166, hexagonal axes)
One atom of each set of equivalent atoms:
Ac  0.0000  0.0000  0.0000 (multiplicity 3)
La  0.0000  0.0000  0.5000 (multiplicity 3)
Pr  0.0000  0.0000  0.2498 (multiplicity 6)
Tl  0.0000  0.0000  0.1266 (multiplicity 6)
Tl  0.0000  0.0000  0.3769 (multiplicity 6)

Results
Final energy (eV per cell): -93.28

[7]
DFT (PBE) results for a relaxed structure of TcP2W.

Cell: 3.0390 5.0083 7.6072 Å, 90.00 90.00 90.00°
Space group Cmmm (No. 65)
One atom of each set of equivalent atoms:
Tc  0.0000  0.0000  0.0000 (multiplicity 2)
P  0.0000  0.5000  0.2462 (multiplicity 4)
W  0.0000  0.0000  0.5000 (multiplicity 2)

Results
Energy relative to the lowest polymorph listed for this composition (eV per atom): 0.6374

[8]
DFT (PBE) results for a relaxed structure of YTmPt2.

Cell: 6.9549 6.9549 6.9549 Å, 90.00 90.00 90.00°
Space group Fm-3m (No. 225)
One atom of each set of equivalent atoms:
Y  0.0000  0.0000  0.0000 (multiplicity 4)
Tm  0.0000  0.0000  0.5000 (multiplicity 4)
Pt  0.2500  0.2500  0.2500 (multiplicity 8)

Results
Energy relative to the lowest polymorph listed for this composition (eV per atom): 0.0452

| no. | density (Mg/m³) | size of the total moment (μB/f.u.) |
| --- | --- | --- |
| 1 | 7.820 | 0.0 |
| 2 | 9.418 | 0.0 |
| 3 | 4.985 | 0.0 |
| 4 | 10.299 | 1.0 |
| 5 | 4.169 | 0.0 |
| 6 | 9.483 | 0.0 |
| 7 | 9.861 | 0.0 |
| 8 | 12.794 | 0.0 |